Material: Ti2TeRu2
Method: DFT, GGA-PBE
State: relaxed

Unit cell a=7.440 b=7.440 c=3.055 alpha=90.00 beta=90.00 gamma=90.00
Atoms (fractional coordinates):
1 Ru 0.364 0.864 0.000
2 Ru 0.864 0.636 0.000
3 Ru 0.636 0.136 0.000
4 Ru 0.136 0.364 0.000
5 Te 0.000 0.000 0.000
6 Te 0.500 0.500 0.000
7 Ti 0.151 0.651 0.500
8 Ti 0.651 0.849 0.500
9 Ti 0.849 0.349 0.500
10 Ti 0.349 0.151 0.500

The total magnetic moment is 0.00 Bohr magnetons per cell. As for the uncorrected formation energy: -0.28 eV per atom. The crystal system is tetragonal.